No. 1
A plane-wave DFT calculation with GGA-PBE was carried out for a relaxed Cs8SbAu2F crystal.

The density of states at the Fermi level comes out at 3.4 states/eV/f.u. For the energy relative to the elements, uncorrected, the calculation gives -7.479 eV/f.u.

a b c (Å): 8.486 8.470 10.424
angles (deg): 90.01 89.99 88.61
Sites, in units of the cell vectors:
Cs (0.185, 0.807, 0.215)
Cs (0.730, 0.738, 0.000)
Cs (0.815, 0.193, 0.215)
Cs (0.815, 0.193, 0.785)
Cs (0.270, 0.262, 0.000)
Cs (0.185, 0.807, 0.785)
Cs (0.687, 0.698, 0.500)
Cs (0.313, 0.302, 0.500)
Sb (0.000, 0.000, 0.500)
Au (0.500, 0.500, 0.775)
Au (0.500, 0.500, 0.225)
F (0.000, 0.000, 0.000)

***

No. 2
A plane-wave DFT calculation with GGA-PBE was carried out for a relaxed CsSbAuF2 crystal.

The density of states at the Fermi level comes out at 1.6 states/eV/f.u. For the energy relative to the elements, uncorrected, the calculation gives -7.018 eV/f.u.

a b c (Å): 4.832 5.330 4.832
angles (deg): 90.00 90.00 90.00
Sites, in units of the cell vectors:
Cs (0.500, 0.500, 0.500)
Sb (0.000, 0.000, 0.000)
Au (0.000, 0.500, 0.000)
F (0.000, 0.000, 0.500)
F (0.500, 0.000, 0.000)

***

No. 3
A plane-wave DFT calculation with GGA-PBE was carried out for a relaxed Cs2ScAuF6 crystal.

The density of states at the Fermi level comes out at 0.0 states/eV/f.u. For the energy relative to the elements, uncorrected, the calculation gives -27.774 eV/f.u. For the distance to the lowest polymorph of the same formula, the calculation gives 3.3 kJ/mol of atoms.

a b c (Å): 6.498 6.498 6.498
angles (deg): 60.00 60.00 60.00
Sites, in units of the cell vectors:
Cs (0.750, 0.750, 0.750)
Cs (0.250, 0.250, 0.250)
Sc (0.000, 0.000, 0.000)
Au (0.500, 0.500, 0.500)
F (0.222, 0.778, 0.222)
F (0.778, 0.222, 0.222)
F (0.778, 0.222, 0.778)
F (0.222, 0.222, 0.778)
F (0.778, 0.778, 0.222)
F (0.222, 0.778, 0.778)

***

No. 4
A plane-wave DFT calculation with GGA-PBE was carried out for a relaxed Cs2ScAuF6 crystal.

The density of states at the Fermi level comes out at 0.0 states/eV/f.u. For the energy relative to the elements, uncorrected, the calculation gives -28.111 eV/f.u. For the distance to the lowest polymorph of the same formula, the calculation gives 0.0 kJ/mol of atoms.

a b c (Å): 7.052 7.052 6.503
angles (deg): 57.17 57.17 90.00
Sites, in units of the cell vectors:
Cs (0.750, 0.250, 0.500)
Cs (0.250, 0.750, 0.500)
Sc (0.500, 0.500, 0.000)
Au (0.000, 0.000, 0.000)
F (0.249, 0.249, 0.503)
F (0.751, 0.751, 0.497)
F (0.299, 0.299, 0.000)
F (0.701, 0.701, 0.000)
F (0.701, 0.299, 0.000)
F (0.299, 0.701, 0.000)

***

No. 5
A plane-wave DFT calculation with GGA-PBE was carried out for a relaxed Cs2SiAuF6 crystal.

The density of states at the Fermi level comes out at 0.7 states/eV/f.u. For the energy relative to the elements, uncorrected, the calculation gives -25.315 eV/f.u.

a b c (Å): 6.645 6.645 6.641
angles (deg): 59.98 59.98 90.00
Last column: magnetic moment on the atom in μB.
Sites, in units of the cell vectors:
Cs (0.750, 0.250, 0.500)  0.01
Cs (0.250, 0.750, 0.500)  0.01
Si (0.500, 0.500, 0.000)  0.01
Au (0.000, 0.000, 0.000)  0.44
F (0.316, 0.316, 0.367)  0.01
F (0.684, 0.684, 0.633)  0.01
F (0.317, 0.317, 0.000)  0.01
F (0.683, 0.683, 0.000)  0.01
F (0.683, 0.317, 0.000)  0.01
F (0.317, 0.683, 0.000)  0.01

***

No. 6
A plane-wave DFT calculation with GGA-PBE was carried out for a relaxed Cs2SrAuF6 crystal.

The density of states at the Fermi level comes out at 0.0 states/eV/f.u. For the energy relative to the elements, uncorrected, the calculation gives -25.001 eV/f.u.

a b c (Å): 6.828 6.828 6.620
angles (deg): 58.95 58.95 90.00
Last column: magnetic moment on the atom in μB.
Sites, in units of the cell vectors:
Cs (0.750, 0.250, 0.500)  0.00
Cs (0.250, 0.750, 0.500)  0.00
Sr (0.500, 0.500, 0.000)  0.01
Au (0.000, 0.000, 0.000)  0.62
F (0.232, 0.232, 0.536)  0.08
F (0.768, 0.768, 0.464)  0.08
F (0.253, 0.253, 0.000)  0.04
F (0.747, 0.747, 0.000)  0.04
F (0.747, 0.253, 0.000)  0.04
F (0.253, 0.747, 0.000)  0.04